Record 1
VASP calculation (PBE-GGA) on crystalline AgSO2F at its relaxed geometry.

Total moment (Bohr magnetons per cell): 1.40
Density of states at the Fermi level (states/eV/atom): 0.97
Formation energy without anion corrections (eV/atom): 0.627

Unit cell a=4.126 b=4.126 c=4.108 alpha=90.00 beta=90.00 gamma=90.00
Space group P4/mmm (No. 123)
Unique sites:
Ag 0.000 0.000 0.000 (multiplicity 1)
S 0.500 0.500 0.500 (multiplicity 1)
O 0.000 0.500 0.000 (multiplicity 2)
F 0.000 0.000 0.500 (multiplicity 1)

Record 2
VASP calculation (PBE-GGA) on crystalline AgSO2F at its relaxed geometry.

Total moment (Bohr magnetons per cell): 4.05
Density of states at the Fermi level (states/eV/atom): 1.14
Formation energy without anion corrections (eV/atom): 0.793

Unit cell a=3.968 b=3.968 c=5.403 alpha=90.00 beta=90.00 gamma=90.00
Space group P4/mmm (No. 123)
Unique sites:
Ag 0.000 0.000 0.000 (multiplicity 1)
S 0.000 0.000 0.500 (multiplicity 1)
O 0.000 0.500 0.000 (multiplicity 2)
F 0.500 0.500 0.500 (multiplicity 1)

Record 3
VASP calculation (PBE-GGA) on crystalline Ag2SO4F at its relaxed geometry.

Total moment (Bohr magnetons per cell): 0.00
Density of states at the Fermi level (states/eV/atom): 0.56
Formation energy without anion corrections (eV/atom): -0.865

Unit cell a=3.984 b=7.039 c=8.004 alpha=90.00 beta=90.00 gamma=90.00
Space group I222 (No. 23)
Unique sites:
Ag 0.000 0.000 0.177 (multiplicity 4)
S 0.000 0.500 0.000 (multiplicity 2)
O 0.201 0.371 0.891 (multiplicity 8)
F 0.000 0.500 0.500 (multiplicity 2)

Record 4
VASP calculation (PBE-GGA) on crystalline AgS2O6F2 at its relaxed geometry.

Total moment (Bohr magnetons per cell): 0.44
Density of states at the Fermi level (states/eV/atom): 0.46
Formation energy without anion corrections (eV/atom): -1.201

Unit cell a=5.2790 b=5.2790 c=7.3206 alpha=90.00 beta=90.00 gamma=120.00
Space group P-3 (No. 147)
Unique sites:
Ag 0.0000 0.0000 0.0000 (multiplicity 1)
S 0.3333 0.6667 0.7696 (multiplicity 2)
O 0.0684 0.6731 0.8173 (multiplicity 6)
F 0.3333 0.6667 0.5525 (multiplicity 2)

Record 5
VASP calculation (PBE-GGA) on crystalline AgS2O6F2 at its relaxed geometry.

Total moment (Bohr magnetons per cell): 4.12
Density of states at the Fermi level (states/eV/atom): 0.06
Formation energy without anion corrections (eV/atom): -1.214

Unit cell a=10.539 b=8.005 c=9.179 alpha=90.00 beta=113.30 gamma=90.00
Space group P2_1/c (No. 14)
Unique sites:
Ag 0.000 0.000 0.000 (multiplicity 2)
Ag 0.500 0.000 0.500 (multiplicity 2)
S 0.145 0.217 0.332 (multiplicity 4)
S 0.347 0.736 0.205 (multiplicity 4)
O 0.028 0.200 0.178 (multiplicity 4)
O 0.142 0.123 0.909 (multiplicity 4)
O 0.216 0.690 0.679 (multiplicity 4)
O 0.279 0.174 0.336 (multiplicity 4)
O 0.357 0.666 0.062 (multiplicity 4)
O 0.471 0.666 0.797 (multiplicity 4)
F 0.113 0.082 0.441 (multiplicity 4)
F 0.359 0.577 0.314 (multiplicity 4)

Record 6
VASP calculation (PBE-GGA) on crystalline AgSO2F at its relaxed geometry.

Total moment (Bohr magnetons per cell): 0.00
Density of states at the Fermi level (states/eV/atom): 0.52
Formation energy without anion corrections (eV/atom): -0.262

Unit cell a=3.500 b=3.500 c=5.548 alpha=90.00 beta=90.00 gamma=90.00
Space group P4/mmm (No. 123)
Unique sites:
Ag 0.000 0.000 0.000 (multiplicity 1)
S 0.500 0.500 0.500 (multiplicity 1)
O 0.000 0.500 0.500 (multiplicity 2)
F 0.500 0.500 0.000 (multiplicity 1)

Record 7
VASP calculation (PBE-GGA) on crystalline AgSO3F at its relaxed geometry.

Total moment (Bohr magnetons per cell): 0.00
Density of states at the Fermi level (states/eV/atom): 0.00
Formation energy without anion corrections (eV/atom): -1.173

Unit cell a=5.477 b=8.262 c=8.072 alpha=90.00 beta=94.26 gamma=90.00
Space group P2_1 (No. 4)
Unique sites:
Ag 0.210 0.000 0.193 (multiplicity 2)
Ag 0.210 0.472 0.228 (multiplicity 2)
S 0.270 0.712 0.635 (multiplicity 2)
S 0.316 0.238 0.839 (multiplicity 2)
O 0.049 0.728 0.726 (multiplicity 2)
O 0.212 0.085 0.893 (multiplicity 2)
O 0.212 0.385 0.906 (multiplicity 2)
O 0.266 0.583 0.515 (multiplicity 2)
O 0.416 0.738 0.160 (multiplicity 2)
O 0.500 0.231 0.262 (multiplicity 2)
F 0.227 0.244 0.645 (multiplicity 2)
F 0.261 0.877 0.524 (multiplicity 2)

Record 8
VASP calculation (PBE-GGA) on crystalline AgSbSO2F6 at its relaxed geometry.

Total moment (Bohr magnetons per cell): 0.36
Density of states at the Fermi level (states/eV/atom): 0.00
Formation energy without anion corrections (eV/atom): -1.784

Unit cell a=7.800 b=8.373 c=13.718 alpha=90.00 beta=123.95 gamma=90.00
Space group P2_1/c (No. 14)
Unique sites:
Ag 0.220 0.250 0.471 (multiplicity 4)
Sb 0.130 0.744 0.378 (multiplicity 4)
S 0.496 0.597 0.733 (multiplicity 4)
O 0.374 0.068 0.641 (multiplicity 4)
O 0.427 0.045 0.160 (multiplicity 4)
F 0.072 0.712 0.496 (multiplicity 4)
F 0.093 0.530 0.884 (multiplicity 4)
F 0.160 0.220 0.243 (multiplicity 4)
F 0.172 0.517 0.379 (multiplicity 4)
F 0.178 0.727 0.756 (multiplicity 4)
F 0.421 0.733 0.997 (multiplicity 4)

Record 9
VASP calculation (PBE-GGA) on crystalline AgSbO2F at its relaxed geometry.

Total moment (Bohr magnetons per cell): 0.00
Density of states at the Fermi level (states/eV/atom): 0.34
Formation energy without anion corrections (eV/atom): -0.225

Unit cell a=4.175 b=4.175 c=4.193 alpha=90.00 beta=90.00 gamma=90.00
Space group P4/mmm (No. 123)
Unique sites:
Ag 0.000 0.000 0.000 (multiplicity 1)
Sb 0.500 0.500 0.500 (multiplicity 1)
O 0.000 0.500 0.000 (multiplicity 2)
F 0.000 0.000 0.500 (multiplicity 1)

Record 10
VASP calculation (PBE-GGA) on crystalline AgSbO2F at its relaxed geometry.

Total moment (Bohr magnetons per cell): 0.00
Density of states at the Fermi level (states/eV/atom): 0.14
Formation energy without anion corrections (eV/atom): -0.988

Unit cell a=4.132 b=4.132 c=4.369 alpha=90.00 beta=90.00 gamma=90.00
Space group P4/mmm (No. 123)
Unique sites:
Ag 0.000 0.000 0.000 (multiplicity 1)
Sb 0.500 0.500 0.500 (multiplicity 1)
O 0.000 0.500 0.500 (multiplicity 2)
F 0.500 0.500 0.000 (multiplicity 1)

Record 11
VASP calculation (PBE-GGA) on crystalline ScAgO2F at its relaxed geometry.

Total moment (Bohr magnetons per cell): 1.01
Density of states at the Fermi level (states/eV/atom): 0.36
Formation energy without anion corrections (eV/atom): -1.926

Unit cell a=4.128 b=4.128 c=4.089 alpha=90.00 beta=90.00 gamma=90.00
Space group P4/mmm (No. 123)
Unique sites:
Sc 0.000 0.000 0.000 (multiplicity 1)
Ag 0.500 0.500 0.500 (multiplicity 1)
O 0.000 0.500 0.000 (multiplicity 2)
F 0.000 0.000 0.500 (multiplicity 1)

Record 12
VASP calculation (PBE-GGA) on crystalline ScAgOF2 at its relaxed geometry.

Total moment (Bohr magnetons per cell): 0.00
Density of states at the Fermi level (states/eV/atom): 0.00
Formation energy without anion corrections (eV/atom): -2.532

Unit cell a=4.137 b=4.137 c=4.084 alpha=90.00 beta=90.00 gamma=90.00
Space group P4/mmm (No. 123)
Unique sites:
Sc 0.000 0.000 0.000 (multiplicity 1)
Ag 0.500 0.500 0.500 (multiplicity 1)
O 0.000 0.000 0.500 (multiplicity 1)
F 0.000 0.500 0.000 (multiplicity 2)